Record 1
## Pm2NF2 (PBE-GGA)

Data for an optimized crystal structure of Pm2NF2.

Unit cell a=7.8825 b=6.9279 c=6.4594 alpha=90.00 beta=90.67 gamma=90.00
Space group P2_1/c (No. 14)
Symmetry-distinct sites (fractional):
Pm 0.1215 0.0989 0.1993
Pm 0.3632 0.5925 0.2540
N 0.1281 0.0839 0.8394
F 0.2057 0.6547 0.9329
F 0.4428 0.1814 0.5541

Calculated values
crystal system: monoclinic
energy above the lowest structure with this stoichiometry: 119 meV per atom


Record 2
## Pm6N5F (PBE-GGA)

Data for an optimized crystal structure of Pm6N5F.

Unit cell a=6.2705 b=10.8535 c=6.2542 alpha=90.00 beta=109.68 gamma=90.00
Space group C2/m (No. 12)
Symmetry-distinct sites (fractional):
Pm 0.2365 0.0000 0.2630
Pm 0.2400 0.1751 0.7447
N 0.0000 0.0000 0.5000
N 0.0000 0.1665 0.0000
N 0.0000 0.3308 0.5000
F 0.0000 0.5000 0.0000

Calculated values
crystal system: monoclinic
raw total energy: -7.70 eV per atom


Record 3
## Pm3N2F2 (PBE-GGA)

Data for an optimized crystal structure of Pm3N2F2.

Unit cell a=3.9924 b=5.7471 c=7.0700 alpha=112.61 beta=106.34 gamma=90.06
Space group P-1 (No. 2)
Symmetry-distinct sites (fractional):
Pm 0.0000 0.0000 0.0000
Pm 0.3304 0.4036 0.6614
N 0.1563 0.3797 0.3124
F 0.4695 0.2066 0.9379

Calculated values
crystal system: triclinic
raw total energy: -7.20 eV per atom


What did the first record say?
## Pm2NF2 (PBE-GGA)

Data for an optimized crystal structure of Pm2NF2.

Unit cell a=7.8825 b=6.9279 c=6.4594 alpha=90.00 beta=90.67 gamma=90.00
Space group P2_1/c (No. 14)
Symmetry-distinct sites (fractional):
Pm 0.1215 0.0989 0.1993
Pm 0.3632 0.5925 0.2540
N 0.1281 0.0839 0.8394
F 0.2057 0.6547 0.9329
F 0.4428 0.1814 0.5541

Calculated values
crystal system: monoclinic
energy above the lowest structure with this stoichiometry: 119 meV per atom